No. 1
Computed, not measured: Na6Cu2PC4O16 after structural relaxation at the PBE level of DFT.

Unit cell a=9.8854 b=9.8854 c=9.8854 alpha=60.00 beta=60.00 gamma=60.00
Last column: nearest neighbours and their distance in Å.
Atoms (fractional coordinates):
Na1 0.2904 0.7096 0.7096  6 O 2.40-2.49
Na2 0.2904 0.7096 0.2904  6 O 2.40-2.49
Na3 0.2904 0.2904 0.7096  6 O 2.40-2.49
Na4 0.7096 0.7096 0.2904  6 O 2.40-2.49
Na5 0.5404 0.9596 0.9596  6 O 2.40-2.49
Na6 0.5404 0.9596 0.5404  6 O 2.40-2.49
Na7 0.7096 0.2904 0.7096  6 O 2.40-2.49
Na8 0.7096 0.2904 0.2904  6 O 2.40-2.49
Na9 0.9596 0.9596 0.5404  6 O 2.40-2.49
Na10 0.5404 0.5404 0.9596  6 O 2.40-2.49
Na11 0.9596 0.5404 0.5404  6 O 2.40-2.49
Na12 0.9596 0.5404 0.9596  6 O 2.40-2.49
Cu1 0.1250 0.6250 0.1250  6 O 2.11
Cu2 0.1250 0.1250 0.1250  6 O 2.11
Cu3 0.1250 0.1250 0.6250  6 O 2.11
Cu4 0.6250 0.1250 0.1250  6 O 2.11
P1 0.7500 0.7500 0.7500  4 O 1.56
P2 0.5000 0.5000 0.5000  4 O 1.56
C1 0.2732 0.9089 0.9089  3 O 1.30
C2 0.9089 0.9089 0.9089  3 O 1.30
C3 0.9089 0.9089 0.2732  3 O 1.30
C4 0.9089 0.2732 0.9089  3 O 1.30
C5 0.3411 0.9768 0.3411  3 O 1.30
C6 0.3411 0.3411 0.9768  3 O 1.30
C7 0.3411 0.3411 0.3411  3 O 1.30
C8 0.9768 0.3411 0.3411  3 O 1.30
O1 0.9429 0.6857 0.6857  1 P 1.56
O2 0.6857 0.6857 0.9429  1 P 1.56
O3 0.6857 0.6857 0.6857  1 P 1.56
O4 0.6857 0.9429 0.6857  1 P 1.56
O5 0.2759 0.7678 0.9280  1 C 1.30
O6 0.2759 0.9280 0.0282  1 C 1.30
O7 0.0282 0.7678 0.2759  1 C 1.30
O8 0.2759 0.0282 0.7678  1 C 1.30
O9 0.9280 0.7678 0.0282  1 C 1.30
O10 0.0282 0.9280 0.7678  1 C 1.30
O11 0.9280 0.0282 0.2759  1 C 1.30
O12 0.7678 0.9280 0.2759  1 C 1.30
O13 0.0282 0.2759 0.9280  1 C 1.30
O14 0.7678 0.0282 0.9280  1 C 1.30
O15 0.9280 0.2759 0.7678  1 C 1.30
O16 0.4822 0.9741 0.2218  1 C 1.30
O17 0.7678 0.2759 0.0282  1 C 1.30
O18 0.3220 0.9741 0.4822  1 C 1.30
O19 0.4822 0.2218 0.3220  1 C 1.30
O20 0.2218 0.9741 0.3220  1 C 1.30
O21 0.4822 0.3220 0.9741  1 C 1.30
O22 0.3220 0.2218 0.9741  1 C 1.30
O23 0.2218 0.3220 0.4822  1 C 1.30
O24 0.3220 0.4822 0.2218  1 C 1.30
O25 0.9741 0.2218 0.4822  1 C 1.30
O26 0.2218 0.4822 0.9741  1 C 1.30
O27 0.9741 0.3220 0.2218  1 C 1.30
O28 0.9741 0.4822 0.3220  1 C 1.30
O29 0.5643 0.3071 0.5643  1 P 1.56
O30 0.5643 0.5643 0.3071  1 P 1.56
O31 0.5643 0.5643 0.5643  1 P 1.56
O32 0.3071 0.5643 0.5643  1 P 1.56

Output
crystal system: cubic
uncorrected energy: -6.29 eV/atom
formation energy without anion corrections: -44.61 eV per formula unit
volume: 11.78 Å³/atom
space-group type: Fd-3, No. 203

=====

No. 2
Computed, not measured: TmLuGaAg after structural relaxation at the PBE level of DFT.

Unit cell a=5.0201 b=5.0201 c=5.0201 alpha=60.00 beta=60.00 gamma=60.00
Last column: nearest neighbours and their distance in Å.
Atoms (fractional coordinates):
Lu1 0.0000 0.0000 0.0000  4 Ga 3.07, 4 Ag 3.07
Tm1 0.5000 0.5000 0.5000  4 Ga 3.07, 4 Ag 3.07
Ga1 0.7500 0.7500 0.7500  4 Tm 3.07, 4 Lu 3.07
Ag1 0.2500 0.2500 0.2500  4 Tm 3.07, 4 Lu 3.07

Output
crystal system: cubic
uncorrected energy: -4.19 eV/atom
E_form: -0.47 eV per atom
volume: 22.36 Å³/atom
space-group type: F-43m, No. 216

=====

No. 3
Computed, not measured: AcSn2BiAu5 after structural relaxation at the PBE level of DFT.

Unit cell a=4.9363 b=4.9363 c=8.8913 alpha=90.00 beta=90.00 gamma=90.00
Last column: nearest neighbours and their distance in Å.
Atoms (fractional coordinates):
Ac1 0.0000 0.0000 0.0000  8 Au 3.56, 8 Sn 3.77
Sn1 0.5000 0.5000 0.1591  5 Au 2.73-3.03, 1 Sn 2.83
Sn2 0.5000 0.5000 0.8409  5 Au 2.73-3.03, 1 Sn 2.83
Bi1 0.0000 0.0000 0.5000  8 Au 3.10
Au1 0.0000 0.5000 0.2891  2 Sn 2.73
Au2 0.5000 0.0000 0.2891  2 Sn 2.73
Au3 0.0000 0.5000 0.7109  2 Sn 2.73
Au4 0.5000 0.0000 0.7109  2 Sn 2.73
Au5 0.5000 0.5000 0.5000  2 Sn 3.03, 8 Au 3.10

Output
crystal system: tetragonal
uncorrected energy: -3.90 eV/atom
E_form: -0.30 eV per atom
volume: 24.07 Å³/atom
space-group type: P4/mmm, No. 123

=====

No. 4
Computed, not measured: Pm12AgRu6 after structural relaxation at the PBE level of DFT.

Unit cell a=8.7210 b=8.7210 c=8.7210 alpha=109.47 beta=109.47 gamma=109.47
Last column: nearest neighbours and their distance in Å.
Atoms (fractional coordinates):
Pm1 0.2976 0.1013 0.8037  1 Ru 2.74
Pm2 0.2976 0.4940 0.1963  1 Ru 2.74
Pm3 0.7024 0.5060 0.8037  1 Ru 2.74
Pm4 0.7024 0.8987 0.1963  1 Ru 2.74
Pm5 0.1013 0.8037 0.2976  1 Ru 2.74
Pm6 0.4940 0.1963 0.2976  1 Ru 2.74
Pm7 0.5060 0.8037 0.7024  1 Ru 2.74
Pm8 0.8987 0.1963 0.7024  1 Ru 2.74
Pm9 0.8037 0.2976 0.1013  1 Ru 2.74
Pm10 0.1963 0.2976 0.4940  1 Ru 2.74
Pm11 0.8037 0.7024 0.5060  1 Ru 2.74
Pm12 0.1963 0.7024 0.8987  1 Ru 2.74
Ag1 0.0000 0.0000 0.0000  12 Pm 3.59
Ru1 0.3779 0.5000 0.8779  1 Ru 2.46, 2 Pm 2.74
Ru2 0.6221 0.5000 0.1221  1 Ru 2.46, 2 Pm 2.74
Ru3 0.5000 0.8779 0.3779  1 Ru 2.46, 2 Pm 2.74
Ru4 0.5000 0.1221 0.6221  1 Ru 2.46, 2 Pm 2.74
Ru5 0.8779 0.3779 0.5000  1 Ru 2.46, 2 Pm 2.74
Ru6 0.1221 0.6221 0.5000  1 Ru 2.46, 2 Pm 2.74

Output
crystal system: cubic
uncorrected energy: -6.26 eV/atom
E_form: -0.18 eV per atom
volume: 26.87 Å³/atom
space-group type: Im-3, No. 204

=====

No. 5
Computed, not measured: ZrCrCu after structural relaxation at the PBE level of DFT.

Unit cell a=2.7528 b=2.7528 c=7.1070 alpha=90.00 beta=90.00 gamma=120.00
Last column: nearest neighbours and their distance in Å.
Atoms (fractional coordinates):
Cr1 0.0000 0.0000 0.0224  3 Cu 2.60, 6 Cr 2.75
Cu1 0.6667 0.3333 0.3124  3 Cr 2.60, 6 Cu 2.75
Zr1 0.3333 0.6667 0.6652  6 Zr 2.75, 3 Cu 2.97, 3 Cr 3.00

Output
crystal system: trigonal
uncorrected energy: -6.89 eV/atom
energy above the lowest structure with this stoichiometry: 0.495 eV/atom
E_form: 0.54 eV per atom
volume: 15.55 Å³/atom
space-group type: P3m1, No. 156

=====

No. 6
Computed, not measured: ZrCrAgCl2 after structural relaxation at the PBE level of DFT.

Unit cell a=4.9140 b=5.7568 c=4.9140 alpha=90.00 beta=90.00 gamma=90.00
Last column: nearest neighbours and their distance in Å.
Atoms (fractional coordinates):
Cr1 0.5000 0.5000 0.5000  4 Ag 3.47, 8 Cl 3.78
Zr1 0.0000 0.0000 0.0000  4 Cl 2.46
Ag1 0.0000 0.5000 0.0000  2 Zr 2.88
Cl1 0.0000 0.0000 0.5000  2 Zr 2.46
Cl2 0.5000 0.0000 0.0000  2 Zr 2.46

Output
crystal system: tetragonal
uncorrected energy: -4.87 eV/atom
formation energy without anion corrections: 0.36 eV per formula unit
volume: 27.80 Å³/atom
space-group type: P4/mmm, No. 123

=====

No. 7
Computed, not measured: YBeW after structural relaxation at the PBE level of DFT.

Unit cell a=4.5545 b=4.5545 c=3.0227 alpha=90.00 beta=90.00 gamma=120.00
Last column: nearest neighbours and their distance in Å.
Atoms (fractional coordinates):
Y1 0.3333 0.6667 0.6668  2 Y 3.02, 6 Be 3.03, 6 W 3.03
Be1 0.0000 0.0000 0.1662  3 W 2.63
W1 0.6667 0.3333 0.1670  3 Be 2.63

Output
crystal system: hexagonal
uncorrected energy: -7.07 eV/atom
energy above the lowest structure with this stoichiometry: 0.176 eV/atom
E_form: 0.64 eV per atom
volume: 18.10 Å³/atom
space-group type: P-6m2, No. 187

=====

No. 8
Computed, not measured: SiPH2 after structural relaxation at the PBE level of DFT.

Unit cell a=3.6466 b=4.5699 c=11.4940 alpha=90.00 beta=90.00 gamma=90.00
Last column: nearest neighbours and their distance in Å.
Atoms (fractional coordinates):
Si1 0.0000 0.2500 0.5635  4 H 1.70-1.74
Si2 0.0000 0.7500 0.4365  4 H 1.70-1.74
Si3 0.5000 0.2500 0.9364  4 H 1.70-1.74
Si4 0.5000 0.7500 0.0636  4 H 1.70-1.74
P1 0.2500 0.5919 0.2500  2 P 2.33, 2 Si 2.44
P2 0.7500 0.4081 0.7500  2 P 2.33, 2 Si 2.44
P3 0.7500 0.9081 0.2500  2 P 2.33, 2 Si 2.44
P4 0.2500 0.0919 0.7500  2 P 2.33, 2 Si 2.44
H1 0.7404 0.9265 0.9583  2 Si 1.70-1.74
H2 0.2596 0.0735 0.0417  2 Si 1.70-1.74
H3 0.2404 0.5735 0.5417  2 Si 1.70-1.74
H4 0.7596 0.4265 0.4583  2 Si 1.70-1.74
H5 0.7404 0.4265 0.0417  2 Si 1.70-1.74
H6 0.2596 0.5735 0.9583  2 Si 1.70-1.74
H7 0.2404 0.0735 0.4583  2 Si 1.70-1.74
H8 0.7596 0.9265 0.5417  2 Si 1.70-1.74

Output
crystal system: orthorhombic
uncorrected energy: -4.04 eV/atom
energy above the lowest structure with this stoichiometry: 0.077 eV/atom
volume: 11.97 Å³/atom
space-group type: Pnna, No. 52

=====

No. 9
Computed, not measured: RbBaHgBi2 after structural relaxation at the PBE level of DFT.

Unit cell a=6.4869 b=7.6668 c=6.4869 alpha=90.00 beta=90.00 gamma=90.00
Last column: nearest neighbours and their distance in Å.
Atoms (fractional coordinates):
Ba1 0.0000 0.0000 0.0000  4 Bi 3.24
Bi1 0.0000 0.0000 0.5000  2 Ba 3.24
Bi2 0.5000 0.0000 0.0000  2 Ba 3.24
Rb1 0.0000 0.5000 0.0000  2 Ba 3.83
Hg1 0.5000 0.5000 0.5000  4 Rb 4.59, 8 Bi 5.02

Output
crystal system: tetragonal
uncorrected energy: -1.90 eV/atom
E_form: 0.29 eV per atom
volume: 64.52 Å³/atom
space-group type: P4/mmm, No. 123

=====

No. 10
Computed, not measured: KTaTeO6 after structural relaxation at the PBE level of DFT.

Unit cell a=5.3619 b=5.3619 c=11.9835 alpha=90.00 beta=90.00 gamma=120.00
Last column: nearest neighbours and their distance in Å.
Atoms (fractional coordinates):
K1 0.0000 0.0000 0.0000  6 O 2.83
K2 0.0000 0.0000 0.5000  6 O 2.83
Ta1 0.6667 0.3333 0.2500  6 O 2.02
Ta2 0.3333 0.6667 0.7500  6 O 2.02
Te1 0.3333 0.6667 0.2500  6 O 1.96
Te2 0.6667 0.3333 0.7500  6 O 1.96
O1 0.6044 0.6117 0.1576  1 Te 1.96, 1 Ta 2.02
O2 0.0073 0.3956 0.1576  1 Te 1.96, 1 Ta 2.02
O3 0.3956 0.0073 0.6576  1 Te 1.96, 1 Ta 2.02
O4 0.9927 0.6044 0.8424  1 Te 1.96, 1 Ta 2.02
O5 0.3883 0.3956 0.3424  1 Te 1.96, 1 Ta 2.02
O6 0.0073 0.6117 0.3424  1 Te 1.96, 1 Ta 2.02
O7 0.6117 0.0073 0.8424  1 Te 1.96, 1 Ta 2.02
O8 0.6044 0.9927 0.3424  1 Te 1.96, 1 Ta 2.02
O9 0.9927 0.3883 0.6576  1 Te 1.96, 1 Ta 2.02
O10 0.3883 0.9927 0.1576  1 Te 1.96, 1 Ta 2.02
O11 0.6117 0.6044 0.6576  1 Te 1.96, 1 Ta 2.02
O12 0.3956 0.3883 0.8424  1 Te 1.96, 1 Ta 2.02

Output
crystal system: trigonal
uncorrected energy: -7.00 eV/atom
formation energy without anion corrections: -17.17 eV per formula unit
volume: 16.58 Å³/atom
space-group type: P-31c, No. 163

=====

No. 11
Computed, not measured: CsNd2Br8 after structural relaxation at the PBE level of DFT.

Unit cell a=7.0660 b=7.0660 c=9.0485 alpha=90.00 beta=90.00 gamma=90.00
Last column: nearest neighbours and their distance in Å.
Atoms (fractional coordinates):
Cs1 0.5000 0.5000 0.5000  8 Br 3.74
Nd1 0.5000 0.0000 0.0000  8 Br 3.06
Nd2 0.0000 0.5000 0.0000  8 Br 3.06
Br1 0.7517 0.7517 0.1947  2 Nd 3.06
Br2 0.7517 0.2483 0.8053  2 Nd 3.06
Br3 0.7517 0.7517 0.8053  2 Nd 3.06
Br4 0.7517 0.2483 0.1947  2 Nd 3.06
Br5 0.2483 0.7517 0.1947  2 Nd 3.06
Br6 0.2483 0.7517 0.8053  2 Nd 3.06
Br7 0.2483 0.2483 0.1947  2 Nd 3.06
Br8 0.2483 0.2483 0.8053  2 Nd 3.06

Output
crystal system: tetragonal
uncorrected energy: -3.76 eV/atom
energy above the lowest structure with this stoichiometry: 0.032 eV/atom
formation energy without anion corrections: -17.60 eV per formula unit
volume: 41.07 Å³/atom
space-group type: P4/mmm, No. 123

=====

No. 12
Computed, not measured: Bi2Pb2Cl after structural relaxation at the PBE level of DFT.

Unit cell a=8.7395 b=8.7395 c=4.3481 alpha=90.00 beta=90.00 gamma=90.00
Last column: nearest neighbours and their distance in Å.
Atoms (fractional coordinates):
Pb1 0.3347 0.8347 0.0000  2 Cl 3.26, 6 Bi 3.36-3.38
Pb2 0.8347 0.6653 0.0000  2 Cl 3.26, 6 Bi 3.36-3.38
Pb3 0.6653 0.1653 0.0000  2 Cl 3.26, 6 Bi 3.36-3.38
Pb4 0.1653 0.3347 0.0000  2 Cl 3.26, 6 Bi 3.36-3.38
Bi1 0.1258 0.6258 0.5000  1 Bi 3.11, 6 Pb 3.36-3.38
Bi2 0.6258 0.8742 0.5000  1 Bi 3.11, 6 Pb 3.36-3.38
Bi3 0.8742 0.3742 0.5000  1 Bi 3.11, 6 Pb 3.36-3.38
Bi4 0.3742 0.1258 0.5000  1 Bi 3.11, 6 Pb 3.36-3.38
Cl1 0.0000 0.0000 0.0000  4 Pb 3.26
Cl2 0.5000 0.5000 0.0000  4 Pb 3.26

Output
crystal system: tetragonal
uncorrected energy: -3.52 eV/atom
energy above the lowest structure with this stoichiometry: 0.000 eV/atom
formation energy without anion corrections: -0.57 eV per formula unit
volume: 33.21 Å³/atom
space-group type: P4/mbm, No. 127